A geometry-optimized ZrGe structure, computed with PBE.

Cell lengths 3.7635, 3.7635, 6.6578 Å; angles 106.42, 106.42, 90.00 degrees
Fractional positions:
Ge 0.5997 0.5997 0.1994
Ge 0.4003 0.4003 0.8006
Zr 0.8257 0.8257 0.6515
Zr 0.1743 0.1743 0.3485

Results
Space-group type = I4/mmm
D(E_F) = 0.56 states/eV per atom
DFT total energy = -6.9541 eV/atom
ΔH_f (0 K) = -0.3713 eV per atom